1.
First-principles (PBE) data for a relaxed PrBePPt crystal, as listed in the Alexandria database.

Properties
The calculation puts the formation energy at -1068 meV per atom. The value obtained for the magnetization is 0.00 μB/cell.

Cell: 4.1236 4.1236 8.8110 Å, 90.00 90.00 90.00°
With the nearest neighbours (Å) after each atom.
Space group P4/nmm (No. 129, origin choice 2)
One atom of each set of equivalent atoms:
Pr1 0.2500 0.2500 0.1881  5 P 2.92-2.94
Be1 0.2500 0.2500 0.6179  1 P 2.11, 4 Pt 2.31
P1 0.2500 0.2500 0.8571  1 Be 2.11
Pt1 0.2500 0.7500 0.5000  4 Be 2.31

***

2.
First-principles (PBE) data for a relaxed Pu2BeB2Rh5 crystal, as listed in the Alexandria database.

Properties
The calculation puts the formation energy at -476 meV per atom. The value obtained for the magnetization is 18.80 μB/cell.

Cell: 9.4624 9.4624 3.1355 Å, 90.00 90.00 90.00°
With the nearest neighbours (Å) after each atom.
Space group P4/mbm (No. 127)
One atom of each set of equivalent atoms:
Pu1 0.1775 0.3225 0.0000  3 B 2.65-2.90, 6 Rh 2.85-2.91
Be1 0.0000 0.0000 0.0000  8 Rh 2.63
B1 0.1242 0.6242 0.0000  6 Rh 2.27-2.28
Rh1 0.0000 0.5000 0.5000  4 B 2.28
Rh2 0.0659 0.7874 0.5000  2 B 2.27

***

3.
First-principles (PBE) data for a relaxed CaTb2HfP4 crystal, as listed in the Alexandria database.

Properties
The calculation puts the formation energy at -1382 meV per atom. The value obtained for the magnetization is 0.00 μB/cell.

Cell: 6.7990 3.9456 6.8913 Å, 90.00 109.08 90.00°
With the nearest neighbours (Å) after each atom.
Space group P2/m (No. 10)
One atom of each set of equivalent atoms:
Ca1 0.0000 0.0000 0.0000  6 P 2.80-2.82
Tb1 0.5000 0.0000 0.5000  6 P 2.78
Tb2 0.5000 0.5000 0.0000  6 P 2.89
Hf1 0.0000 0.5000 0.5000  6 P 2.68-2.71
P1 0.2356 0.0000 0.7339  2 Hf 2.71, 3 Tb 2.78-2.89, 1 Ca 2.80
P2 0.2439 0.5000 0.2629  1 Hf 2.68, 3 Tb 2.78-2.89, 2 Ca 2.82

***

4.
First-principles (PBE) data for a relaxed NaCu4Se3O12 crystal, as listed in the Alexandria database.

Properties
As for the uncorrected formation energy: -0.43 eV per atom. The value obtained for the magnetization is 0.00 μB/cell.

Cell: 7.5550 7.5550 7.5550 Å, 90.00 90.00 90.00°
With the nearest neighbours (Å) after each atom.
Space group Im-3 (No. 204)
One atom of each set of equivalent atoms:
Na1 0.0000 0.0000 0.0000  12 O 2.76
Cu1 0.2500 0.2500 0.2500  6 O 2.06
Se1 0.0000 0.0000 0.5000  4 O 1.85
O1 0.0000 0.3233 0.1700  1 Se 1.85, 2 Cu 2.06

***

5.
First-principles (PBE) data for a relaxed Cs3PrCu2Br9 crystal, as listed in the Alexandria database.

Properties
As for the uncorrected formation energy: -1.30 eV per atom. The value obtained for the magnetization is 0.99 μB/cell.

Cell: 7.7845 7.7845 9.6506 Å, 90.00 90.00 120.00°
With the nearest neighbours (Å) after each atom.
Space group P-3m1 (No. 164)
One atom of each set of equivalent atoms:
Cs1 0.0000 0.0000 0.0000  12 Br 3.89-3.91
Cs2 0.3333 0.6667 0.6777  12 Br 3.84-4.04
Pr1 0.0000 0.0000 0.5000  6 Br 2.90
Cu1 0.3333 0.6667 0.1308  6 Br 2.58-2.84
Br1 0.0000 0.5000 0.0000  2 Cu 2.58
Br2 0.1743 0.3486 0.3234  1 Cu 2.84, 1 Pr 2.90

***

6.
First-principles (PBE) data for a relaxed K2NiI4 crystal, as listed in the Alexandria database.

Properties
As for the uncorrected formation energy: -0.81 eV per atom. The energy above the lowest structure with this stoichiometry comes out at 17.4 meV/atom. The value obtained for the magnetization is 0.00 μB/cell.

Cell: 5.5727 5.5727 17.2465 Å, 90.00 90.00 90.00°
With the nearest neighbours (Å) after each atom.
Space group I4/mmm (No. 139)
One atom of each set of equivalent atoms:
K1 0.0000 0.0000 0.1361  9 I 3.62-3.95
Ni1 0.0000 0.0000 0.5000  6 I 2.65-2.79
I1 0.0000 0.0000 0.3463  1 Ni 2.65
I2 0.0000 0.5000 0.0000  2 Ni 2.79

***

7.
First-principles (PBE) data for a relaxed Sr5CdAu4 crystal, as listed in the Alexandria database.

Properties
The calculation puts the formation energy at -647 meV per atom. The value obtained for the magnetization is 0.00 μB/cell.

Cell: 3.8836 3.8836 19.4652 Å, 90.00 90.00 90.00°
With the nearest neighbours (Å) after each atom.
Space group P4/mmm (No. 123)
One atom of each set of equivalent atoms:
Sr1 0.0000 0.0000 0.0000  8 Au 3.34
Sr2 0.0000 0.0000 0.1947  8 Au 3.33-3.36
Sr3 0.0000 0.0000 0.3888  4 Au 3.31, 4 Cd 3.50
Cd1 0.5000 0.5000 0.5000  8 Sr 3.50, 4 Cd 3.88
Au1 0.5000 0.5000 0.0975  8 Sr 3.33-3.34
Au2 0.5000 0.5000 0.2942  8 Sr 3.31-3.36

***

8.
First-principles (PBE) data for a relaxed K2Mg3Cd12In crystal, as listed in the Alexandria database.

Properties
The calculation puts the formation energy at 34 meV per atom. The value obtained for the magnetization is 0.00 μB/cell.

Cell: 7.5308 7.5308 32.0705 Å, 90.00 90.00 120.00°
With the nearest neighbours (Å) after each atom.
Space group R-3m (No. 166, hexagonal axes)
One atom of each set of equivalent atoms:
K1 0.0000 0.0000 0.1516  6 Cd 3.72-3.78
Mg1 0.0000 0.5000 0.0000  6 Cd 2.90-3.01
Cd1 0.0500 0.5250 0.0934  4 Cd 2.96-3.20, 1 In 2.99, 1 Mg 3.01
Cd2 0.0745 0.5372 0.6183  2 Mg 2.90, 4 Cd 2.92-2.96
In1 0.0000 0.0000 0.5000  6 Cd 2.99